This record from the Open Quantum Materials Database describes crystalline AlGaHgTe2Se2 at its relaxed geometry. The functional is GGA-PBE.

Values from the calculation:
- Space group: P1
- VASP energy: -23.57 eV for the cell shown

```
AlGaHgTe2Se2
1.0
6.0729 0.0000 0.0000
-0.0167 6.1217 0.0000
-2.9577 -2.8788 5.7061
Se Te Ga Hg Al
2 2 1 1 1
Direct
0.6021 0.6013 0.7313
0.4039 0.8640 0.2681
0.1129 0.1327 0.7096
0.8665 0.3986 0.2903
0.4958 0.5127 0.9984
0.9980 0.9952 0.0028
0.2708 0.7454 0.4997
```

This record from the Open Quantum Materials Database describes crystalline Nd2Ho2CBr4Cl at its relaxed geometry. The functional is GGA-PBE.

Values from the calculation:
- Space group: C2/m
- Magnetization: 0.02 μB per cell
- VASP energy: -51.21 eV for the cell shown

```
Nd2Ho2CBr4Cl
1.0
1.7599 1.7889 8.8833
-1.8681 0.4461 9.0289
2.7894 -7.6236 -0.8025
Nd Br Ho Cl C
2 4 2 1 1
Direct
0.0016 0.0016 0.7865
0.9984 0.9984 0.2135
0.8261 0.8261 0.1609
0.8326 0.8326 0.6676
0.1739 0.1739 0.8391
0.1674 0.1674 0.3324
0.6358 0.6358 0.0704
0.3642 0.3642 0.9296
0.5000 0.5000 0.5000
0.5000 0.5000 0.0000
```

This record from the Open Quantum Materials Database describes crystalline TbGd2Cd at its relaxed geometry. The functional is GGA-PBE.

Values from the calculation:
- Space group: Ama2
- Magnetization: 0.46 μB per cell
- DFT formation energy: -0.11 eV per atom

```
TbGd2Cd
1.0
5.4879 0.0000 0.0000
0.0000 6.0226 3.4780
0.0000 -6.0226 3.4780
Gd Tb Cd
4 2 2
Direct
0.2500 0.8280 0.6555
0.7500 0.1727 0.8280
0.7500 0.6555 0.8280
0.2500 0.8280 0.1727
0.2500 0.3443 0.1723
0.7500 0.1723 0.3443
0.2500 0.3331 0.6660
0.7500 0.6660 0.3331
```

This record from the Open Quantum Materials Database describes crystalline Ho2Al8Ni at its relaxed geometry. The functional is GGA-PBE.

Values from the calculation:
- Space group: P4/mmm
- Magnetization: 0.00 μB per cell
- VASP energy: -49.60 eV for the cell shown

```
Ho2Al8Ni
1.0
4.2224 0.0000 0.0000
0.0000 4.2224 0.0000
0.0000 0.0000 11.0423
Al Ho Ni
8 2 1
Direct
0.0000 0.5000 0.1195
0.5000 0.5000 0.3043
0.0000 0.5000 0.8805
0.5000 0.0000 0.1195
0.0000 0.5000 0.5000
0.5000 0.0000 0.8805
0.5000 0.0000 0.5000
0.5000 0.5000 0.6957
0.0000 0.0000 0.3090
0.0000 0.0000 0.6910
0.0000 0.0000 0.0000
```

This record from the Open Quantum Materials Database describes crystalline YTm2Al3Cu2Ni at its relaxed geometry. The functional is GGA-PBE.

Values from the calculation:
- Space group: Amm2
- Magnetization: 0.00 μB per cell
- VASP energy: -44.34 eV for the cell shown

```
YTm2Al3Cu2Ni
1.0
3.9797 0.0000 0.0000
0.0000 6.0202 3.4723
0.0000 -6.0202 3.4723
Al Cu Tm Y Ni
3 2 2 1 1
Direct
0.5000 0.7683 0.0002
0.5000 0.0002 0.7683
0.5000 0.2319 0.2319
0.5000 0.6683 0.3296
0.5000 0.3296 0.6683
0.0000 0.9997 0.4102
0.0000 0.4102 0.9997
0.0000 0.5879 0.5879
0.0000 0.0039 0.0039
```

This record from the Open Quantum Materials Database describes crystalline Hf5In3Cu at its relaxed geometry. The functional is GGA-PBE.

Values from the calculation:
- Space group: P6_3/mcm
- Magnetization: 0.04 μB per cell
- VASP energy: -125.59 eV for the cell shown

```
Hf5In3Cu
1.0
-0.2494 -7.0898 -4.8640
6.7547 5.3044 -0.4726
2.6698 -3.0198 4.2648
In Cu Hf
6 2 10
Direct
0.6158 0.6158 0.7500
0.0000 0.6158 0.2500
0.6158 0.0000 0.2500
0.0000 0.3842 0.7500
0.3842 0.3842 0.2500
0.3842 0.0000 0.7500
0.0000 0.0000 0.5000
0.0000 0.0000 0.0000
0.2651 0.0000 0.2500
0.3333 0.6667 0.0000
0.0000 0.7349 0.7500
0.2651 0.2651 0.7500
0.7349 0.7349 0.2500
0.0000 0.2651 0.2500
0.6667 0.3333 0.0000
0.3333 0.6667 0.5000
0.6667 0.3333 0.5000
0.7349 0.0000 0.7500
```

This record from the Open Quantum Materials Database describes crystalline ThHgB at its relaxed geometry. The functional is GGA-PBE.

Values from the calculation:
- Space group: F-43m
- Magnetization: 0.00 μB per cell
- VASP energy: -11.71 eV for the cell shown

```
ThHgB
1.0
2.9732 -3.5620 0.6641
2.0332 -0.6076 4.1793
-1.2445 -3.6177 2.7078
Hg B Th
1 1 1
Direct
0.0000 0.0000 0.0000
0.2500 0.2500 0.2500
0.7500 0.7500 0.7500
```

This record from the Open Quantum Materials Database describes crystalline RbTmGaTe3 at its relaxed geometry. The functional is GGA-PBE.

Values from the calculation:
- Space group: Cmcm
- Magnetization: 0.01 μB per cell
- VASP energy: -46.88 eV for the cell shown

```
RbTmGaTe3
1.0
-1.0464 4.8949 -6.6635
-3.5296 -5.1581 5.5130
-2.2775 9.0318 6.9923
Rb Tm Ga Te
2 2 2 6
Direct
0.7470 0.2530 0.7500
0.2530 0.7470 0.2500
0.5000 0.5000 0.5000
0.5000 0.5000 0.0000
0.9713 0.0287 0.2500
0.0287 0.9713 0.7500
0.1234 0.8766 0.5507
0.4386 0.5614 0.7500
0.8766 0.1234 0.0507
0.5614 0.4386 0.2500
0.8766 0.1234 0.4493
0.1234 0.8766 0.9493
```

This record from the Open Quantum Materials Database describes crystalline PrZnIr at its relaxed geometry. The functional is GGA-PBE.

Values from the calculation:
- Space group: F-43m
- Magnetization: 0.00 μB per cell
- DFT formation energy: -0.34 eV per atom

```
PrZnIr
1.0
2.3321 1.3465 3.8083
-2.3321 1.3465 3.8083
0.0000 -2.6929 3.8083
Pr Ir Zn
1 1 1
Direct
0.7500 0.7500 0.7500
0.0000 0.0000 0.0000
0.2500 0.2500 0.2500
```

This record from the Open Quantum Materials Database describes crystalline GdBiN2O at its relaxed geometry. The functional is GGA-PBE.

Values from the calculation:
- Space group: P6_3cm
- Magnetization: 0.01 μB per cell
- VASP energy: -198.71 eV for the cell shown

```
GdBiN2O
1.0
-0.2507 2.2459 6.2868
-4.0114 -4.9815 -1.9300
8.5407 -8.1355 3.2469
Gd Bi O N
6 6 6 12
Direct
0.3333 0.6667 0.2361
0.0000 0.0000 0.2666
0.6667 0.3333 0.2361
0.3333 0.6667 0.7361
0.6667 0.3333 0.7361
0.0000 0.0000 0.7666
0.6666 0.6666 0.0005
0.0000 0.3334 0.0005
0.3334 0.3334 0.5005
0.3334 0.0000 0.0005
0.6666 0.0000 0.5005
0.0000 0.6666 0.5005
0.0000 0.0000 0.4693
0.6667 0.3333 0.5287
0.3333 0.6667 0.0287
0.3333 0.6667 0.5287
0.6667 0.3333 0.0287
0.0000 0.0000 0.9693
0.0000 0.3588 0.8345
0.6412 0.0000 0.3345
0.0000 0.6897 0.6677
0.0000 0.3103 0.1677
0.6412 0.6412 0.8345
0.3588 0.3588 0.3345
0.6897 0.0000 0.6677
0.0000 0.6412 0.3345
0.3103 0.3103 0.6677
0.3588 0.0000 0.8345
0.6897 0.6897 0.1677
0.3103 0.0000 0.1677
```

This record from the Open Quantum Materials Database describes crystalline Li4CuAgSb2 at its relaxed geometry. The functional is GGA-PBE.

Values from the calculation:
- Space group: P-4m2
- VASP energy: -25.96 eV for the cell shown

```
Li4CuAgSb2
1.0
4.5698 0.0000 0.0000
0.0000 4.5698 0.0000
0.0000 0.0000 6.4869
Li Sb Ag Cu
4 2 1 1
Direct
0.5000 0.5000 0.0000
0.0000 0.5000 0.7407
0.5000 0.0000 0.2593
0.0000 0.0000 0.5000
0.5000 0.0000 0.7347
0.0000 0.5000 0.2653
0.0000 0.0000 0.0000
0.5000 0.5000 0.5000
```

This record from the Open Quantum Materials Database describes crystalline Cu2AgAu2 at its relaxed geometry. The functional is GGA-PBE.

Values from the calculation:
- Space group: I4/mmm
- DFT formation energy: 0.13 eV per atom

```
Cu2AgAu2
1.0
5.0261 -1.6873 -4.1110
5.8662 -3.1435 0.8455
-6.6076 0.1195 1.1550
Ag Cu Au
1 2 2
Direct
0.0000 0.0000 0.0000
0.2500 0.7500 0.5000
0.7500 0.2500 0.5000
0.3929 0.3929 0.0000
0.6071 0.6071 0.0000
```

This record from the Open Quantum Materials Database describes crystalline CsThPb at its relaxed geometry. The functional is GGA-PBE.

Values from the calculation:
- Space group: F-43m
- Magnetization: 0.78 μB per cell
- VASP energy: -8.49 eV for the cell shown

```
CsThPb
1.0
0.0000 3.8874 3.8874
3.8874 0.0000 3.8874
3.8874 3.8874 0.0000
Pb Cs Th
1 1 1
Direct
0.2500 0.2500 0.2500
0.0000 0.0000 0.0000
0.7500 0.7500 0.7500
```

This record from the Open Quantum Materials Database describes crystalline LiMg2Cu4Ni at its relaxed geometry. The functional is GGA-PBE.

Values from the calculation:
- Space group: P4/mmm
- Magnetization: 0.00 μB per cell
- VASP energy: -25.77 eV for the cell shown

```
LiMg2Cu4Ni
1.0
4.1941 0.0000 0.0000
0.0000 4.1941 0.0000
0.0000 0.0000 5.9760
Cu Mg Li Ni
4 2 1 1
Direct
0.5000 0.0000 0.7552
0.0000 0.5000 0.7552
0.5000 0.0000 0.2448
0.0000 0.5000 0.2448
0.5000 0.5000 0.5000
0.0000 0.0000 0.0000
0.0000 0.0000 0.5000
0.5000 0.5000 0.0000
```

This record from the Open Quantum Materials Database describes crystalline Sc2Cd2InGa at its relaxed geometry. The functional is GGA-PBE.

Values from the calculation:
- Space group: Pm
- Magnetization: 0.00 μB per cell
- VASP energy: -84.79 eV for the cell shown

```
Sc2Cd2InGa
1.0
-8.6062 -6.9403 2.6789
1.5688 -3.1273 -3.0621
8.8854 -2.1733 6.7719
Cd Ga In Sc
8 4 4 8
Direct
0.7578 0.0000 0.2556
0.8713 0.5000 0.6269
0.3743 0.5000 0.1254
0.9922 0.0000 0.9976
0.1184 0.5000 0.3675
0.2550 0.0000 0.7483
0.5056 0.0000 0.5076
0.6271 0.5000 0.8715
0.5021 0.0000 0.7515
0.9996 0.0000 0.2478
0.8736 0.5000 0.8742
0.7510 0.0000 0.5017
0.2479 0.0000 0.9987
0.3753 0.5000 0.3766
0.1244 0.5000 0.6234
0.6268 0.5000 0.1261
0.7472 0.0000 0.9989
0.3797 0.5000 0.8735
0.8747 0.5000 0.3795
0.5059 0.0000 0.2561
0.6270 0.5000 0.6273
0.1174 0.5000 0.1196
0.2486 0.0000 0.4951
0.9970 0.0000 0.7494
```

This record from the Open Quantum Materials Database describes crystalline YCoSn at its relaxed geometry. The functional is GGA-PBE.

Values from the calculation:
- Space group: F-43m
- Magnetization: 1.13 μB per cell
- VASP energy: -18.60 eV for the cell shown

```
YCoSn
1.0
0.0000 3.2114 3.2114
3.2114 0.0000 3.2114
3.2114 3.2114 0.0000
Y Co Sn
1 1 1
Direct
0.7500 0.7500 0.7500
0.0000 0.0000 0.0000
0.2500 0.2500 0.2500
```

This record from the Open Quantum Materials Database describes crystalline LuCo at its relaxed geometry. The functional is GGA-PBE.

Values from the calculation:
- Space group: P6_3/mmc
- Magnetization: 0.03 μB per cell
- DFT formation energy: 0.56 eV per atom

```
LuCo
1.0
-3.5264 1.1334 -2.4386
-0.4084 -3.0250 3.2171
-1.1611 3.8412 3.4644
Co Lu
2 2
Direct
0.3333 0.6667 0.4375
0.0000 0.0000 0.9375
0.3333 0.6667 0.9375
0.0000 0.0000 0.4375
```

This record from the Open Quantum Materials Database describes crystalline TbNd2Zn2Si4Au2 at its relaxed geometry. The functional is GGA-PBE.

Values from the calculation:
- Space group: Immm
- Magnetization: 0.01 μB per cell
- VASP energy: -52.27 eV for the cell shown

```
TbNd2Zn2Si4Au2
1.0
7.1293 -10.6811 1.1489
7.5359 -8.1794 6.5222
-9.7394 7.8856 -3.0322
Nd Si Zn Au Tb
2 4 2 2 1
Direct
0.6470 0.1470 0.5000
0.3530 0.8530 0.5000
0.4534 0.4534 0.0000
0.5466 0.5466 0.0000
0.1923 0.6923 0.5000
0.8077 0.3077 0.5000
0.2505 0.2505 0.0000
0.7495 0.7495 0.0000
0.9061 0.4061 0.5000
0.0939 0.5939 0.5000
0.0000 0.0000 0.0000
```

This record from the Open Quantum Materials Database describes crystalline LaBeZnAu at its relaxed geometry. The functional is GGA-PBE.

Values from the calculation:
- Space group: F-43m
- Magnetization: 0.00 μB per cell
- VASP energy: -13.75 eV for the cell shown

```
LaBeZnAu
1.0
-4.0814 -1.7341 2.0020
-3.9547 2.8192 0.2920
-3.8705 -0.9415 -2.7939
Au La Be Zn
1 1 1 1
Direct
0.7500 0.7500 0.7500
0.5000 0.5000 0.5000
0.0000 0.0000 0.0000
0.2500 0.2500 0.2500
```

This record from the Open Quantum Materials Database describes crystalline Zr4Sb2H at its relaxed geometry. The functional is GGA-PBE.

Values from the calculation:
- Space group: I4/mmm
- Magnetization: 0.01 μB per cell
- VASP energy: -50.30 eV for the cell shown

```
Zr4Sb2H
1.0
4.3446 0.1427 7.0674
0.3633 4.6068 6.8913
-4.3939 -4.1433 -5.6896
Zr Sb H
4 2 1
Direct
0.6707 0.6707 0.0000
0.3293 0.3293 0.0000
0.5000 0.0000 0.5000
0.0000 0.5000 0.5000
0.1407 0.1407 0.0000
0.8593 0.8593 0.0000
0.5000 0.5000 0.0000
```

This record from the Open Quantum Materials Database describes crystalline TbSm2Cu4Sn2Ge2 at its relaxed geometry. The functional is GGA-PBE.

Values from the calculation:
- Space group: Immm
- Magnetization: 0.00 μB per cell
- VASP energy: -51.99 eV for the cell shown

```
TbSm2Cu4Sn2Ge2
1.0
-2.1809 3.4602 7.2629
2.1809 -3.4602 7.2629
2.1809 3.4602 -7.2629
Ge Sn Sm Cu Tb
2 2 2 4 1
Direct
0.7844 0.7844 0.0000
0.2156 0.2156 0.0000
0.7021 0.5000 0.2021
0.2979 0.5000 0.7979
0.6366 0.1366 0.5000
0.3634 0.8634 0.5000
0.3592 0.6744 0.6849
0.9895 0.6744 0.3151
0.6408 0.3256 0.3151
0.0105 0.3256 0.6849
0.0000 0.0000 0.0000
```

This record from the Open Quantum Materials Database describes crystalline CuGePtW at its relaxed geometry. The functional is GGA-PBE.

Values from the calculation:
- Space group: F-43m
- Magnetization: 0.53 μB per cell
- VASP energy: -26.59 eV for the cell shown

```
CuGePtW
1.0
0.0000 3.1123 3.1123
3.1123 0.0000 3.1123
3.1123 3.1123 0.0000
Ge Pt Cu W
1 1 1 1
Direct
0.0000 0.0000 0.0000
0.5000 0.5000 0.5000
0.7500 0.7500 0.7500
0.2500 0.2500 0.2500
```

This record from the Open Quantum Materials Database describes crystalline LiHo at its relaxed geometry. The functional is GGA-PBE.

Values from the calculation:
- Space group: Fm-3m
- Magnetization: 0.04 μB per cell
- VASP energy: -5.42 eV for the cell shown

```
LiHo
1.0
0.8362 2.2732 3.4678
-2.3732 3.3726 0.9413
-2.6422 -0.1278 3.3008
Li Ho
1 1
Direct
0.5000 0.5000 0.5000
0.0000 0.0000 0.0000
```

In the order shown, the computed volume values come out to 212.13 278.34 229.91 196.87 166.38 376.00 72.81 439.89 71.75 472.87 135.47 84.61 117.49 105.12 567.40 66.24 90.29 221.32 81.45 138.57 219.23 60.29 53.52 Å³ per cell.
In the order shown, the computed ρ values come out to 5.56 5.88 8.46 5.10 6.92 11.49 10.11 5.34 9.22 8.64 5.43 12.34 8.09 5.82 5.84 6.68 8.60 8.14 8.37 7.30 8.31 14.19 5.33 g/cm3.